DFT (GGA-PBE) results for an optimized crystal structure of Li4CuSb2Pd.

```
Li4CuSb2Pd
1.0
-2.6998 -2.0809 2.9017
3.5598 -1.2842 2.3912
-0.3943 5.2963 3.4313
Pd Sb Li Cu
1 2 4 1
Direct
0.5000 0.5000 0.5000
0.5000 0.0000 0.7559
0.0000 0.5000 0.2441
0.0000 0.5000 0.7490
0.0000 0.0000 0.5000
0.5000 0.0000 0.2510
0.5000 0.5000 0.0000
0.0000 0.0000 0.0000
```

The density comes out at 5.78 g/cm3. The total energy comes out at -3.649 eV per atom.

***

DFT (GGA-PBE) results for an optimized crystal structure of SmAs3S6.

```
SmAs3S6
1.0
-4.5590 2.4222 -10.1675
-0.0556 -3.6097 -0.8350
-8.6333 -1.5912 7.4537
Sm As S
2 6 12
Direct
0.8091 0.2500 0.4630
0.1909 0.7500 0.5370
0.3866 0.2500 0.3566
0.3388 0.7500 0.9471
0.9442 0.7500 0.2085
0.6612 0.2500 0.0529
0.6134 0.7500 0.6434
0.0559 0.2500 0.7915
0.5975 0.7500 0.9142
0.2450 0.7500 0.2991
0.2340 0.2500 0.7389
0.7660 0.7500 0.2611
0.9730 0.7500 0.6148
0.1318 0.7500 0.9471
0.4025 0.2500 0.0858
0.3905 0.2500 0.5582
0.6095 0.7500 0.4418
0.8682 0.2500 0.0529
0.7550 0.2500 0.7009
0.0270 0.2500 0.3852
```

The density comes out at 4.07 g/cm3. The total energy comes out at -4.930 eV per atom.

***

DFT (GGA-PBE) results for an optimized crystal structure of YIn3Ni2.

```
YIn3Ni2
1.0
9.6318 0.0000 0.0000
-4.8159 8.3414 0.0000
0.0000 0.0000 4.3809
In Ni Y
9 6 3
Direct
0.7063 0.0000 0.0000
0.0000 0.5000 0.5000
0.7063 0.7063 0.0000
0.2937 0.2937 0.0000
0.5000 0.0000 0.5000
0.0000 0.7063 0.0000
0.5000 0.5000 0.5000
0.2937 0.0000 0.0000
0.0000 0.2937 0.0000
0.8177 0.6354 0.5000
0.1823 0.3646 0.5000
0.3646 0.1823 0.5000
0.1823 0.8177 0.5000
0.6354 0.8177 0.5000
0.8177 0.1823 0.5000
0.0000 0.0000 0.5000
0.3333 0.6667 0.0000
0.6667 0.3333 0.0000
```

The density comes out at 7.80 g/cm3. The total energy comes out at -4.589 eV per atom.

***

DFT (GGA-PBE) results for an optimized crystal structure of AlInCu2SeS3.

```
AlInCu2SeS3
1.0
-5.2885 -0.7799 1.3343
-0.0614 -4.6089 -3.0395
4.2232 -0.2449 5.2295
Cu S Se In Al
2 3 1 1 1
Direct
0.6262 0.7010 0.9343
0.8371 0.4362 0.4081
0.7582 0.3539 0.6895
0.4829 0.5575 0.1580
0.9639 0.0930 0.1576
0.2208 0.8231 0.6877
0.3620 0.9625 0.4190
0.1024 0.2187 0.9283
```

The density comes out at 4.41 g/cm3. The total energy comes out at -4.337 eV per atom.

***

DFT (GGA-PBE) results for an optimized crystal structure of CdAgAu2.

```
CdAgAu2
1.0
0.0000 3.3375 3.3375
3.3375 0.0000 3.3375
3.3375 3.3375 0.0000
Cd Ag Au
1 1 2
Direct
0.2500 0.2500 0.2500
0.5000 0.5000 0.5000
0.0000 0.0000 0.0000
0.7500 0.7500 0.7500
```

The formation energy is -0.112 eV per atom. The density comes out at 13.72 g/cm3. The total energy comes out at -2.675 eV per atom.

***

DFT (GGA-PBE) results for an optimized crystal structure of NdDyEr.

```
NdDyEr
1.0
0.0000 3.8497 3.8497
3.8497 0.0000 3.8497
3.8497 3.8497 0.0000
Nd Er Dy
1 1 1
Direct
0.7500 0.7500 0.7500
0.0000 0.0000 0.0000
0.2500 0.2500 0.2500
```

The formation energy is 0.709 eV per atom. The density comes out at 6.90 g/cm3. The total energy comes out at -3.934 eV per atom.